1.
VASP calculation (GGA-PBE) on Mg2Pt3Pb2 after structural relaxation.

abc: 4.6535 4.6535 22.6301
angles: 90.00 90.00 120.00
Space group R3m (No. 160, hexagonal axes)
Symmetry-distinct sites (fractional):
Mg  0.0000  0.0000  0.0000 [3 per cell]
Mg  0.0000  0.0000  0.4951 [3 per cell]
Pt  0.0000  0.0000  0.3715 [3 per cell]
Pt  0.0000  0.0000  0.6240 [3 per cell]
Pt  0.0000  0.0000  0.8734 [3 per cell]
Pb  0.0000  0.0000  0.2426 [3 per cell]
Pb  0.0000  0.0000  0.7507 [3 per cell]

Results
Raw total energy in eV/f.u.: -31.705

2.
VASP calculation (GGA-PBE) on Mg6PtPb2 after structural relaxation.

abc: 8.0117 8.0117 3.6661
angles: 90.00 90.00 120.00
Space group P-62m (No. 189)
Symmetry-distinct sites (fractional):
Mg  0.0000  0.3534  0.0000 [3 per cell]
Mg  0.0000  0.7560  0.5000 [3 per cell]
Pt  0.0000  0.0000  0.0000 [1 per cell]
Pb  0.3333  0.6667  0.5000 [2 per cell]

Results
Raw total energy in eV/f.u.: -25.557